1.
Na2RuPbF8: optimized geometry, PBE-GGA.

uncorrected formation energy = -2.242 eV per atom
VASP energy = -4.792 eV/atom
Fermi-level density of states = 0.39 states/eV/atom

Cell: 4.8624 7.3599 5.4007 Å, 90.00 90.60 90.00°
Last column: nearest neighbours and their distance in Å.
Fractional coordinates of all 12 atoms:
Na 0.0000 0.2460 0.0000  4 F 2.27-2.31
Na 0.0000 0.7540 0.0000  4 F 2.27-2.31
Ru 0.5000 0.5000 0.5000  6 F 1.92-1.98
Pb 0.5000 0.0000 0.5000  6 F 2.33-2.60
F 0.1423 0.0000 0.7836  2 Na 2.27, 1 Pb 2.33
F 0.2162 0.5000 0.7455  1 Ru 1.92
F 0.3208 0.3025 0.3097  1 Ru 1.98
F 0.3208 0.6975 0.3097  1 Ru 1.98
F 0.6792 0.3025 0.6903  1 Ru 1.98
F 0.6792 0.6975 0.6903  1 Ru 1.98
F 0.7838 0.5000 0.2545  1 Ru 1.92
F 0.8577 0.0000 0.2164  2 Na 2.27, 1 Pb 2.33



2.
NaPbSF: optimized geometry, PBE-GGA.

uncorrected formation energy = -1.452 eV per atom
VASP energy = -4.209 eV/atom

Cell: 15.0173 15.0173 15.0173 Å, 14.97 14.97 14.97°
Last column: nearest neighbours and their distance in Å.
Fractional coordinates of all 8 atoms:
Na 0.1410 0.1410 0.1410  4 F 2.26-2.32
Na 0.8590 0.8590 0.8590  4 F 2.26-2.32
Pb 0.2942 0.2942 0.2942  3 S 2.69
Pb 0.7058 0.7058 0.7058  3 S 2.69
S 0.4052 0.4052 0.4052  3 Pb 2.69
S 0.5948 0.5948 0.5948  3 Pb 2.69
F 0.1931 0.1931 0.1931  4 Na 2.26-2.32
F 0.8069 0.8069 0.8069  4 Na 2.26-2.32



3.
Na2ScPbF: optimized geometry, PBE-GGA.

uncorrected formation energy = -1.115 eV per atom
VASP energy = -4.024 eV/atom
Fermi-level density of states = 0.29 states/eV/atom

Cell: 4.4970 4.4970 5.0285 Å, 90.00 90.00 90.00°
Last column: nearest neighbours and their distance in Å.
Fractional coordinates of all 5 atoms:
Na 0.0000 0.5000 0.0000  2 F 2.25
Na 0.5000 0.0000 0.0000  2 F 2.25
Sc 0.0000 0.0000 0.5000  2 F 2.51
Pb 0.5000 0.5000 0.5000  4 Sc 3.18, 8 Na 3.37
F 0.0000 0.0000 0.0000  4 Na 2.25, 2 Sc 2.51



4.
NaScPb2F: optimized geometry, PBE-GGA.

uncorrected formation energy = 0.115 eV per atom
VASP energy = -3.272 eV/atom
Fermi-level density of states = 0.89 states/eV/atom

Cell: 5.5308 5.5308 7.1001 Å, 90.00 90.00 90.00°
Last column: nearest neighbours and their distance in Å.
Fractional coordinates of all 5 atoms:
Na 0.0000 0.0000 0.0000  2 Sc 3.55, 4 F 3.91
Sc 0.0000 0.0000 0.5000  4 Pb 2.77
Pb 0.0000 0.5000 0.5000  2 Sc 2.77
Pb 0.5000 0.0000 0.5000  2 Sc 2.77
F 0.5000 0.5000 0.0000  4 Na 3.91



5.
Na2PbSeF: optimized geometry, PBE-GGA.

uncorrected formation energy = -1.170 eV per atom
VASP energy = -3.510 eV/atom
Fermi-level density of states = 0.54 states/eV/atom

Cell: 4.6327 4.6327 5.3542 Å, 90.00 90.00 90.00°
Last column: nearest neighbours and their distance in Å.
Fractional coordinates of all 5 atoms:
Na 0.0000 0.5000 0.0000  2 F 2.32
Na 0.5000 0.0000 0.0000  2 F 2.32
Pb 0.0000 0.0000 0.5000  2 F 2.68
Se 0.5000 0.5000 0.5000  4 Pb 3.28, 8 Na 3.54
F 0.0000 0.0000 0.0000  4 Na 2.32



6.
Na2SiPbF8: optimized geometry, PBE-GGA.

uncorrected formation energy = -2.834 eV per atom
VASP energy = -5.062 eV/atom
Fermi-level density of states = 0.00 states/eV/atom

Cell: 4.6724 7.1425 5.2541 Å, 90.00 90.85 90.00°
Last column: nearest neighbours and their distance in Å.
Fractional coordinates of all 12 atoms:
Na 0.0000 0.2386 0.0000  6 F 2.28-2.51
Na 0.0000 0.7614 0.0000  6 F 2.28-2.51
Si 0.5000 0.0000 0.5000  6 F 1.71-1.73
Pb 0.5000 0.5000 0.5000  2 F 2.33
F 0.1095 0.5000 0.7716  2 Na 2.28, 1 Pb 2.33
F 0.2358 0.0000 0.7209  1 Si 1.71
F 0.3273 0.1731 0.3261  1 Si 1.73
F 0.3273 0.8269 0.3261  1 Si 1.73
F 0.6727 0.1731 0.6739  1 Si 1.73
F 0.6727 0.8269 0.6739  1 Si 1.73
F 0.7642 0.0000 0.2791  1 Si 1.71
F 0.8905 0.5000 0.2284  2 Na 2.28, 1 Pb 2.33